# 1
An optimized crystal structure of MgBeNiPb. Source: OQMD, functional GGA-PBE.

## Properties
The value obtained for the relative energy among the computed polymorphs is 0.000 eV per atom. As for the calculated total energy: -3.32 eV per atom.

Lattice parameters (Å, degrees): 6.3774 6.3774 6.3774 90.00 90.00 90.00
Closest atoms and distances in Å follow each position.
Space group F-43m (No. 216)
Asymmetric unit:
Mg 0.0000 0.0000 0.0000 x4  4 Be 2.76, 4 Ni 2.76
Be 0.2500 0.2500 0.7500 x4  4 Pb 2.76, 4 Mg 2.76
Ni 0.2500 0.2500 0.2500 x4  4 Pb 2.76, 4 Mg 2.76
Pb 0.0000 0.0000 0.5000 x4  4 Ni 2.76, 4 Be 2.76



# 2
An optimized crystal structure of MgBeNiSb. Source: OQMD, functional GGA-PBE.

## Properties
The value obtained for the relative energy among the computed polymorphs is 0.000 eV per atom. As for the calculated total energy: -3.53 eV per atom.

Lattice parameters (Å, degrees): 6.2937 6.2937 6.2937 90.00 90.00 90.00
Closest atoms and distances in Å follow each position.
Space group F-43m (No. 216)
Asymmetric unit:
Mg 0.0000 0.0000 0.0000 x4  4 Ni 2.73, 4 Be 2.73
Be 0.2500 0.2500 0.2500 x4  4 Sb 2.73, 4 Mg 2.73
Ni 0.2500 0.2500 0.7500 x4  4 Sb 2.73, 4 Mg 2.73
Sb 0.0000 0.0000 0.5000 x4  4 Ni 2.73, 4 Be 2.73



# 3
An optimized crystal structure of MgBeNiSb. Source: OQMD, functional GGA-PBE.

## Properties
The value obtained for the relative energy among the computed polymorphs is 0.066 eV per atom. As for the calculated total energy: -3.47 eV per atom.

Lattice parameters (Å, degrees): 6.3459 6.3459 6.3459 90.00 90.00 90.00
Closest atoms and distances in Å follow each position.
Space group F-43m (No. 216)
Asymmetric unit:
Mg 0.0000 0.0000 0.0000 x4  4 Sb 2.75, 4 Be 2.75
Be 0.2500 0.2500 0.7500 x4  4 Ni 2.75, 4 Mg 2.75
Ni 0.0000 0.0000 0.5000 x4  4 Sb 2.75, 4 Be 2.75
Sb 0.2500 0.2500 0.2500 x4  4 Ni 2.75, 4 Mg 2.75



# 4
An optimized crystal structure of MgBeTlNi. Source: OQMD, functional GGA-PBE.

## Properties
The value obtained for the relative energy among the computed polymorphs is 0.044 eV per atom. As for the calculated total energy: -3.01 eV per atom.

Lattice parameters (Å, degrees): 6.2798 6.2798 6.2798 90.00 90.00 90.00
Closest atoms and distances in Å follow each position.
Space group F-43m (No. 216)
Asymmetric unit:
Mg 0.0000 0.0000 0.0000 x4  4 Tl 2.72, 4 Be 2.72
Be 0.2500 0.2500 0.7500 x4  4 Ni 2.72, 4 Mg 2.72
Tl 0.2500 0.2500 0.2500 x4  4 Ni 2.72, 4 Mg 2.72
Ni 0.0000 0.0000 0.5000 x4  4 Be 2.72, 4 Tl 2.72



# 5
An optimized crystal structure of MgBeTlNi. Source: OQMD, functional GGA-PBE.

## Properties
The value obtained for the relative energy among the computed polymorphs is 0.000 eV per atom. As for the calculated total energy: -3.05 eV per atom.

Lattice parameters (Å, degrees): 6.2432 6.2432 6.2432 90.00 90.00 90.00
Closest atoms and distances in Å follow each position.
Space group F-43m (No. 216)
Asymmetric unit:
Mg 0.0000 0.0000 0.0000 x4  4 Be 2.70, 4 Ni 2.70
Be 0.2500 0.2500 0.2500 x4  4 Tl 2.70, 4 Mg 2.70
Tl 0.0000 0.0000 0.5000 x4  4 Ni 2.70, 4 Be 2.70
Ni 0.2500 0.2500 0.7500 x4  4 Tl 2.70, 4 Mg 2.70



# 6
An optimized crystal structure of MgZrBeNi. Source: OQMD, functional GGA-PBE.

## Properties
The value obtained for the relative energy among the computed polymorphs is 0.000 eV per atom. As for the calculated total energy: -5.03 eV per atom.

Lattice parameters (Å, degrees): 6.2146 6.2146 6.2146 90.00 90.00 90.00
Closest atoms and distances in Å follow each position.
Space group F-43m (No. 216)
Asymmetric unit:
Mg 0.0000 0.0000 0.0000 x4  4 Be 2.69, 4 Ni 2.69
Zr 0.0000 0.0000 0.5000 x4  4 Ni 2.69, 4 Be 2.69
Be 0.2500 0.2500 0.7500 x4  4 Zr 2.69, 4 Mg 2.69
Ni 0.2500 0.2500 0.2500 x4  4 Zr 2.69, 4 Mg 2.69



# 7
An optimized crystal structure of MgZrBeNi. Source: OQMD, functional GGA-PBE.

## Properties
The value obtained for the relative energy among the computed polymorphs is 0.261 eV per atom. As for the calculated total energy: -4.77 eV per atom.

Lattice parameters (Å, degrees): 6.1714 6.1714 6.1714 90.00 90.00 90.00
Closest atoms and distances in Å follow each position.
Space group F-43m (No. 216)
Asymmetric unit:
Mg 0.0000 0.0000 0.0000 x4  4 Zr 2.67, 4 Ni 2.67
Zr 0.2500 0.2500 0.7500 x4  4 Be 2.67, 4 Mg 2.67
Be 0.0000 0.0000 0.5000 x4  4 Zr 2.67, 4 Ni 2.67
Ni 0.2500 0.2500 0.2500 x4  4 Be 2.67, 4 Mg 2.67



# 8
An optimized crystal structure of MgZrBeNi. Source: OQMD, functional GGA-PBE.

## Properties
The value obtained for the relative energy among the computed polymorphs is 0.149 eV per atom. As for the calculated total energy: -4.88 eV per atom.

Lattice parameters (Å, degrees): 6.1700 6.1700 6.1700 90.00 90.00 90.00
Closest atoms and distances in Å follow each position.
Space group F-43m (No. 216)
Asymmetric unit:
Mg 0.0000 0.0000 0.0000 x4  4 Be 2.67, 4 Zr 2.67
Zr 0.2500 0.2500 0.7500 x4  4 Mg 2.67, 4 Ni 2.67
Be 0.2500 0.2500 0.2500 x4  4 Ni 2.67, 4 Mg 2.67
Ni 0.0000 0.0000 0.5000 x4  4 Zr 2.67, 4 Be 2.67



# 9
An optimized crystal structure of MgNpBe. Source: OQMD, functional GGA-PBE.

## Properties
The value obtained for the relative energy among the computed polymorphs is 0.000 eV per atom. As for the calculated total energy: -5.25 eV per atom.

Lattice parameters (Å, degrees): 6.3427 6.3427 6.3427 90.00 90.00 90.00
Closest atoms and distances in Å follow each position.
Space group F-43m (No. 216)
Asymmetric unit:
Mg 0.0000 0.0000 0.0000 x4  4 Be 2.75
Np 0.0000 0.0000 0.5000 x4  4 Be 2.75
Be 0.2500 0.2500 0.2500 x4  4 Mg 2.75, 4 Np 2.75



# 10
An optimized crystal structure of MgBeOs2. Source: OQMD, functional GGA-PBE.

## Properties
As for the calculated total energy: -6.76 eV per atom.

Lattice parameters (Å, degrees): 6.0001 6.0001 6.0001 90.00 90.00 90.00
Closest atoms and distances in Å follow each position.
Space group F-43m (No. 216)
Asymmetric unit:
Mg 0.0000 0.0000 0.0000 x4  4 Be 2.60, 4 Os 2.60
Be 0.2500 0.2500 0.7500 x4  4 Os 2.60, 4 Mg 2.60
Os 0.0000 0.0000 0.5000 x4  4 Os 2.60, 4 Be 2.60
Os 0.2500 0.2500 0.2500 x4  4 Os 2.60, 4 Mg 2.60



# 11
An optimized crystal structure of MgBeTeOs. Source: OQMD, functional GGA-PBE.

## Properties
The value obtained for the relative energy among the computed polymorphs is 0.000 eV per atom. As for the calculated total energy: -4.47 eV per atom.

Lattice parameters (Å, degrees): 6.3479 6.3479 6.3479 90.00 90.00 90.00
Closest atoms and distances in Å follow each position.
Space group F-43m (No. 216)
Asymmetric unit:
Mg 0.0000 0.0000 0.0000 x4  4 Be 2.75, 4 Te 2.75
Be 0.2500 0.2500 0.7500 x4  4 Os 2.75, 4 Mg 2.75
Te 0.2500 0.2500 0.2500 x4  4 Os 2.75, 4 Mg 2.75
Os 0.0000 0.0000 0.5000 x4  4 Te 2.75, 4 Be 2.75



# 12
An optimized crystal structure of MgBeOsW. Source: OQMD, functional GGA-PBE.

## Properties
The value obtained for the relative energy among the computed polymorphs is 0.593 eV per atom. As for the calculated total energy: -6.70 eV per atom.

Lattice parameters (Å, degrees): 6.0405 6.0405 6.0405 90.00 90.00 90.00
Closest atoms and distances in Å follow each position.
Space group F-43m (No. 216)
Asymmetric unit:
Mg 0.0000 0.0000 0.0000 x4  4 W 2.62, 4 Os 2.62
Be 0.0000 0.0000 0.5000 x4  4 Os 2.62, 4 W 2.62
Os 0.2500 0.2500 0.2500 x4  4 Mg 2.62, 4 Be 2.62
W 0.2500 0.2500 0.7500 x4  4 Be 2.62, 4 Mg 2.62